P) Ru2SeCl: optimized geometry, PBE-GGA.

The value obtained for the volume is 75 Å³/f.u.

Cell: 4.128 4.128 7.351 Å, 116.30 116.30 43.14°
Fractional positions:
Ru1 0.140 0.140 0.329
Ru2 0.860 0.860 0.671
Se1 0.500 0.500 0.500
Cl1 0.500 0.500 0.000

=====

Q) Ru2SeCl: optimized geometry, PBE-GGA.

The value obtained for the volume is 63 Å³/f.u.

Cell: 3.073 3.073 6.671 Å, 90.00 90.00 90.00°
Fractional positions:
Ru1 0.000 0.000 0.211
Ru2 0.000 0.000 0.789
Se1 0.500 0.500 0.000
Cl1 0.500 0.500 0.500

=====

It is Q) that is the least stable of them.

=====

P) Ru2SeCl: optimized geometry, PBE-GGA.

The value obtained for the volume is 73 Å³/f.u.

Cell: 3.040 3.793 6.332 Å, 90.00 90.00 90.00°
Fractional positions:
Ru1 0.000 0.000 0.000
Ru2 0.500 0.500 0.209
Se1 0.000 0.000 0.375
Cl1 0.500 0.500 0.839

=====

Q) Ru2SeCl: optimized geometry, PBE-GGA.

The value obtained for the volume is 74 Å³/f.u.

Cell: 3.103 3.807 6.330 Å, 90.00 99.68 90.00°
Fractional positions:
Ru1 0.188 0.000 0.316
Ru2 0.812 0.000 0.684
Se1 0.500 0.500 0.500
Cl1 0.000 0.500 0.000

=====

It is Q) that is the least stable of them.

=====

P) Ru2SeCl: optimized geometry, PBE-GGA.

The value obtained for the volume is 67 Å³/f.u.

Cell: 5.132 5.132 5.132 Å, 146.34 113.38 76.75°
Fractional positions:
Ru1 0.234 0.234 0.000
Ru2 0.766 0.766 0.000
Se1 0.000 0.500 0.500
Cl1 0.500 0.000 0.500

=====

Q) Ru2SeCl: optimized geometry, PBE-GGA.

The value obtained for the volume is 79 Å³/f.u.

Cell: 2.952 3.585 7.591 Å, 90.00 100.42 90.00°
Fractional positions:
Ru1 0.000 0.000 0.000
Ru2 0.421 0.500 0.831
Se1 0.577 0.500 0.165
Cl1 0.319 0.000 0.610

=====

It is P) that is the least stable of them.

=====

P) Ru2SeCl: optimized geometry, PBE-GGA.

The value obtained for the volume is 60 Å³/f.u.

Cell: 4.400 4.400 4.400 Å, 60.00 60.00 60.00°
Fractional positions:
Ru1 0.250 0.250 0.250
Ru2 0.750 0.750 0.750
Se1 0.000 0.000 0.000
Cl1 0.500 0.500 0.500

=====

Q) Ru2SeCl: optimized geometry, PBE-GGA.

The value obtained for the volume is 64 Å³/f.u.

Cell: 4.486 4.486 4.486 Å, 60.00 60.00 60.00°
Fractional positions:
Ru1 0.000 0.000 0.000
Ru2 0.250 0.250 0.250
Se1 0.750 0.750 0.750
Cl1 0.500 0.500 0.500

=====

It is Q) that is the least stable of them.

=====

P) Ru2SeCl: optimized geometry, PBE-GGA.

The value obtained for the volume is 68 Å³/f.u.

Cell: 3.201 3.201 7.954 Å, 90.00 90.00 123.87°
Fractional positions:
Ru1 0.000 0.000 0.233
Ru2 0.000 0.000 0.767
Se1 0.500 0.500 0.000
Cl1 0.500 0.500 0.500

=====

Q) Ru2SeCl: optimized geometry, PBE-GGA.

The value obtained for the volume is 63 Å³/f.u.

Cell: 5.490 5.490 5.490 Å, 141.65 141.65 55.35°
Fractional positions:
Ru1 0.000 0.000 0.000
Ru2 0.750 0.250 0.500
Se1 0.250 0.750 0.500
Cl1 0.500 0.500 0.000

=====

It is Q) that is the least stable of them.

=====

P) Ru2SeCl: optimized geometry, PBE-GGA.

The value obtained for the volume is 71 Å³/f.u.

Cell: 9.495 9.495 9.495 Å, 18.00 18.00 18.00°
Fractional positions:
Ru1 0.000 0.000 0.000
Ru2 0.259 0.259 0.259
Se1 0.526 0.526 0.526
Cl1 0.733 0.733 0.733

=====

Q) Ru2SeCl: optimized geometry, PBE-GGA.

The value obtained for the volume is 78 Å³/f.u.

Cell: 8.972 8.972 8.972 Å, 161.24 160.40 27.26°
Fractional positions:
Ru1 0.000 0.000 0.000
Ru2 0.876 0.376 0.500
Se1 0.296 0.796 0.500
Cl1 0.586 0.586 0.000

=====

It is Q) that is the least stable of them.

=====

P) Ru2SeCl: optimized geometry, PBE-GGA.

The value obtained for the volume is 92 Å³/f.u.

Cell: 4.887 4.887 6.500 Å, 93.12 93.12 36.60°
Fractional positions:
Ru1 0.000 0.000 0.000
Ru2 0.732 0.732 0.027
Se1 0.351 0.351 0.779
Cl1 0.587 0.587 0.311

=====

Q) Ru2SeCl: optimized geometry, PBE-GGA.

The value obtained for the volume is 62 Å³/f.u.

Cell: 7.794 7.794 7.794 Å, 22.81 22.81 22.81°
Fractional positions:
Ru1 0.244 0.244 0.244
Ru2 0.756 0.756 0.756
Se1 0.500 0.500 0.500
Cl1 0.000 0.000 0.000

=====

It is Q) that is the least stable of them.

=====

P) RuSe3Cl: optimized geometry, PBE-GGA.

The value obtained for the volume is 119 Å³/f.u.

Cell: 4.923 4.923 4.923 Å, 90.00 90.00 90.00°
Fractional positions:
Ru1 0.000 0.000 0.000
Se1 0.000 0.500 0.500
Se2 0.500 0.000 0.500
Se3 0.500 0.500 0.000
Cl1 0.500 0.500 0.500

=====

Q) RuSe3Cl: optimized geometry, PBE-GGA.

The value obtained for the volume is 116 Å³/f.u.

Cell: 4.882 4.882 4.882 Å, 90.00 90.00 90.00°
Fractional positions:
Ru1 0.000 0.000 0.000
Se1 0.000 0.000 0.500
Se2 0.000 0.500 0.000
Se3 0.500 0.000 0.000
Cl1 0.500 0.500 0.500

=====

It is P) that is the least stable of them.

=====

P) RuSeCl3: optimized geometry, PBE-GGA.

The value obtained for the volume is 134 Å³/f.u.

Cell: 5.113 5.113 5.113 Å, 90.00 90.00 90.00°
Fractional positions:
Ru1 0.000 0.000 0.000
Se1 0.500 0.500 0.500
Cl1 0.000 0.500 0.500
Cl2 0.500 0.000 0.500
Cl3 0.500 0.500 0.000

=====

Q) RuSeCl3: optimized geometry, PBE-GGA.

The value obtained for the volume is 107 Å³/f.u.

Cell: 4.754 4.754 4.754 Å, 90.00 90.00 90.00°
Fractional positions:
Ru1 0.000 0.000 0.000
Se1 0.500 0.500 0.500
Cl1 0.000 0.000 0.500
Cl2 0.000 0.500 0.000
Cl3 0.500 0.000 0.000

=====

It is P) that is the least stable of them.

=====

P) Si2RuCl: optimized geometry, PBE-GGA.

The value obtained for the volume is 60 Å³/f.u.

Cell: 4.717 4.717 4.717 Å, 130.24 130.24 73.02°
Fractional positions:
Si1 0.250 0.750 0.500
Si2 0.750 0.250 0.500
Ru1 0.000 0.000 0.000
Cl1 0.500 0.500 0.000

=====

Q) Si2RuCl: optimized geometry, PBE-GGA.

The value obtained for the volume is 64 Å³/f.u.

Cell: 7.586 7.586 7.586 Å, 24.02 24.02 24.02°
Fractional positions:
Si1 0.240 0.240 0.240
Si2 0.760 0.760 0.760
Ru1 0.500 0.500 0.500
Cl1 0.000 0.000 0.000

=====

It is P) that is the least stable of them.

=====

P) Si2RuCl: optimized geometry, PBE-GGA.

The value obtained for the volume is 71 Å³/f.u.

Cell: 3.092 3.092 7.393 Å, 90.00 90.00 90.00°
Fractional positions:
Si1 0.000 0.000 0.000
Si2 0.500 0.500 0.194
Ru1 0.500 0.500 0.850
Cl1 0.000 0.000 0.607

=====

Q) Si2RuCl: optimized geometry, PBE-GGA.

The value obtained for the volume is 64 Å³/f.u.

Cell: 4.967 4.967 2.831 Å, 106.24 106.24 86.29°
Fractional positions:
Si1 0.000 0.500 0.000
Si2 0.500 0.000 0.000
Ru1 0.000 0.000 0.500
Cl1 0.500 0.500 0.500

=====

R) Si2RuCl: optimized geometry, PBE-GGA.

The value obtained for the volume is 63 Å³/f.u.

Cell: 2.983 2.995 7.056 Å, 90.00 90.00 90.00°
Fractional positions:
Si1 0.000 0.000 0.202
Si2 0.000 0.000 0.798
Ru1 0.500 0.500 0.000
Cl1 0.000 0.500 0.500

=====

S) Si2RuCl: optimized geometry, PBE-GGA.

The value obtained for the volume is 92 Å³/f.u.

Cell: 6.864 6.864 6.864 Å, 130.13 130.13 73.21°
Fractional positions:
Si1 0.054 0.625 0.929
Si2 0.375 0.304 0.429
Si3 0.696 0.125 0.071
Si4 0.875 0.946 0.571
Ru1 0.000 0.000 0.000
Ru2 0.750 0.250 0.500
Cl1 0.250 0.750 0.500
Cl2 0.500 0.500 0.000

=====

It is Q) that is the least stable of them.

=====

P) SnRu3Cl: optimized geometry, PBE-GGA.

The value obtained for the volume is 87 Å³/f.u.

Cell: 4.430 4.430 4.430 Å, 90.00 90.00 90.00°
Fractional positions:
Sn1 0.000 0.000 0.000
Ru1 0.000 0.500 0.500
Ru2 0.500 0.000 0.500
Ru3 0.500 0.500 0.000
Cl1 0.500 0.500 0.500

=====

Q) SnRu3Cl: optimized geometry, PBE-GGA.

The value obtained for the volume is 125 Å³/f.u.

Cell: 4.999 4.999 4.999 Å, 90.00 90.00 90.00°
Fractional positions:
Sn1 0.000 0.000 0.000
Ru1 0.000 0.000 0.500
Ru2 0.000 0.500 0.000
Ru3 0.500 0.000 0.000
Cl1 0.500 0.500 0.500

=====

It is Q) that is the least stable of them.